Compound: TbGe2Ru2
Source: Alexandria
Functional: meta-GGA SCAN
Structure: single point on PBEsol structure

Summary:
Energy of formation from the pure elements: -75.78 kJ/mol of atoms
N(E_F): 0.54 states/eV/atom

extended XYZ file:
```
5
Lattice="-2.099 2.099 4.900 2.099 -2.099 4.900 2.099 2.099 -4.900" Properties=species:S:1:pos:R:3 pbc="T T T"
Tb 0.000 0.000 0.000
Ge 0.000 0.000 3.635
Ge 0.000 0.000 6.164
Ru 2.099 0.000 2.450
Ru 0.000 2.099 2.450
```